[1]
Material: Cs3Sm2ScS6
Method: DFT, PBE
State: optimized geometry

Density of states at the Fermi level in states/eV per cell: 0.0
E in eV per atom: -5.35
ΔE_f (raw) in eV per atom: -1.761
Volume in Å³ per cell: 352

POSCAR file:
```
Cs3Sm2ScS6
1.0
3.552 -6.150 0.000
3.552 6.150 0.000
-2.370 0.000 8.052
Cs Sm Sc S
3 2 1 6
Cartesian
0.000 0.000 0.000 Cs
3.552 2.077 0.000 Cs
3.552 -2.077 0.000 Cs
2.367 4.102 4.026 Sm
2.367 -4.102 4.026 Sm
2.367 0.000 4.026 Sc
1.244 1.944 2.574 S
0.119 0.000 5.488 S
1.244 -1.944 2.574 S
3.490 1.944 5.478 S
4.614 0.000 2.564 S
3.490 -1.944 5.478 S
```

[2]
Material: PuSnAs2
Method: DFT, PBE
State: optimized geometry

Density of states at the Fermi level in states/eV per cell: 10.1
E in eV per atom: -7.28
Formation energy in eV per atom: -0.373
Volume in Å³ per cell: 103
Energy above the lowest structure with this stoichiometry in meV/atom: 105.2

POSCAR file:
```
PuSnAs2
1.0
2.148 1.240 6.478
-2.148 1.240 6.478
0.000 -2.480 6.478
Pu Sn As
1 1 2
Cartesian
0.000 0.000 0.000 Pu
0.000 0.000 16.081 Sn
0.000 0.000 8.014 As
0.000 0.000 11.597 As
```

[3]
Material: FeRe2Te
Method: DFT, PBE
State: optimized geometry

Density of states at the Fermi level in states/eV per cell: 4.1
E in eV per atom: -8.45
ΔE_f (raw) in eV per atom: 0.673
Volume in Å³ per cell: 62

POSCAR file:
```
FeRe2Te
1.0
4.428 0.000 0.000
0.000 4.428 0.000
0.000 0.000 3.157
Fe Re Te
1 2 1
Cartesian
0.000 0.000 0.000 Fe
0.000 2.214 1.578 Re
2.214 0.000 1.578 Re
2.214 2.214 0.000 Te
```

[4]
Material: SrB2IrRh
Method: DFT, PBE
State: optimized geometry

Density of states at the Fermi level in states/eV per cell: 0.9
E in eV per atom: -6.79
Formation energy in eV per atom: -0.539
Volume in Å³ per cell: 82

POSCAR file:
```
SrB2IrRh
1.0
-1.963 1.963 5.325
1.963 -1.963 5.325
1.963 1.963 -5.325
Sr B Ir Rh
1 2 1 1
Cartesian
0.000 0.000 0.000 Sr
0.000 0.000 3.475 B
0.000 0.000 7.175 B
1.963 0.000 2.663 Ir
0.000 1.963 2.663 Rh
```

[5]
Material: YAgAu4
Method: DFT, PBE
State: optimized geometry

Density of states at the Fermi level in states/eV per cell: 4.1
E in eV per atom: -4.11
Formation energy in eV per atom: -0.375
Volume in Å³ per cell: 245
Energy above the lowest structure with this stoichiometry in meV/atom: 44.6

POSCAR file:
```
YAgAu4
1.0
6.636 -3.664 0.000
6.636 3.664 0.000
-1.595 0.000 5.042
Y Ag Au
2 2 8
Cartesian
2.558 0.000 0.725 Y
9.120 0.000 4.316 Y
5.726 0.000 1.181 Ag
5.951 0.000 3.861 Ag
4.357 2.239 2.096 Au
6.636 2.306 0.000 Au
7.320 2.239 2.946 Au
3.081 0.000 3.641 Au
8.596 0.000 1.401 Au
4.357 -2.239 2.096 Au
6.636 -2.306 0.000 Au
7.320 -2.239 2.946 Au
```

[6]
Material: CaSc4Ni5
Method: DFT, PBE
State: optimized geometry

Density of states at the Fermi level in states/eV per cell: 7.2
E in eV per atom: -6.04
Formation energy in eV per atom: -0.413
Volume in Å³ per cell: 167

POSCAR file:
```
CaSc4Ni5
1.0
3.201 0.000 0.000
0.000 3.201 0.000
0.000 0.000 16.281
Ca Sc Ni
1 4 5
Cartesian
0.000 0.000 0.000 Ca
0.000 0.000 3.403 Sc
0.000 0.000 6.573 Sc
0.000 0.000 9.708 Sc
0.000 0.000 12.878 Sc
1.601 1.601 2.044 Ni
1.601 1.601 5.040 Ni
1.601 1.601 8.140 Ni
1.601 1.601 11.241 Ni
1.601 1.601 14.237 Ni
```

[7]
Material: CoReTe2
Method: DFT, PBE
State: optimized geometry

Density of states at the Fermi level in states/eV per cell: 2.8
E in eV per atom: -5.83
ΔE_f (raw) in eV per atom: 0.627
Volume in Å³ per cell: 72
Energy above the lowest structure with this stoichiometry in meV/atom: 515.0

POSCAR file:
```
CoReTe2
1.0
0.000 3.299 3.299
3.299 0.000 3.299
3.299 3.299 0.000
Co Re Te
1 1 2
Cartesian
0.000 0.000 0.000 Co
3.299 3.299 3.299 Re
1.650 1.650 1.650 Te
4.949 4.949 4.949 Te
```

[8]
Material: BeZn6Cu10
Method: DFT, PBE
State: optimized geometry

Density of states at the Fermi level in states/eV per cell: 5.3
E in eV per atom: -3.06
Formation energy in eV per atom: 0.020
Volume in Å³ per cell: 219

POSCAR file:
```
BeZn6Cu10
1.0
7.154 0.000 0.000
-3.577 6.196 0.000
0.000 0.000 4.943
Be Zn Cu
1 6 10
Cartesian
0.000 0.000 0.000 Be
-1.367 2.368 3.896 Zn
-2.210 3.828 1.047 Zn
2.734 0.000 3.896 Zn
1.367 2.368 1.047 Zn
4.420 0.000 1.047 Zn
2.210 3.828 3.896 Zn
-0.918 1.591 1.507 Cu
-2.659 4.605 3.437 Cu
1.837 0.000 1.507 Cu
0.918 1.591 3.437 Cu
0.000 4.131 0.000 Cu
0.000 4.131 2.472 Cu
3.577 2.065 0.000 Cu
3.577 2.065 2.472 Cu
5.318 0.000 3.437 Cu
2.659 4.605 1.507 Cu
```

[9]
Material: Hf2TaHg
Method: DFT, PBE
State: optimized geometry

Density of states at the Fermi level in states/eV per cell: 3.1
E in eV per atom: -7.95
Formation energy in eV per atom: 0.064
Volume in Å³ per cell: 81

POSCAR file:
```
Hf2TaHg
1.0
4.413 0.000 0.000
0.000 4.413 0.000
0.000 0.000 4.171
Hf Ta Hg
2 1 1
Cartesian
0.000 2.206 0.000 Hf
2.206 0.000 0.000 Hf
0.000 0.000 2.086 Ta
2.206 2.206 2.086 Hg
```

[10]
Material: ScAs2HBr
Method: DFT, PBE
State: optimized geometry

Density of states at the Fermi level in states/eV per cell: 2.4
E in eV per atom: -4.24
Volume in Å³ per cell: 88
Energy above the lowest structure with this stoichiometry in meV/atom: 0.0

POSCAR file:
```
ScAs2HBr
1.0
4.007 0.000 0.000
0.000 4.007 0.000
0.000 0.000 5.482
Sc As H Br
1 2 1 1
Cartesian
0.000 0.000 0.000 Sc
0.000 2.003 2.741 As
2.003 0.000 2.741 As
2.003 2.003 2.741 H
2.003 2.003 0.000 Br
```

[11]
Material: NbFeOsW
Method: DFT, PBE
State: optimized geometry

Density of states at the Fermi level in states/eV per cell: 4.7
E in eV per atom: -10.61
Formation energy in eV per atom: 0.072
Volume in Å³ per cell: 61

POSCAR file:
```
NbFeOsW
1.0
0.000 3.120 3.120
3.120 0.000 3.120
3.120 3.120 0.000
Nb Fe Os W
1 1 1 1
Cartesian
0.000 0.000 0.000 Nb
1.560 1.560 1.560 Fe
3.120 3.120 3.120 Os
4.679 4.679 4.679 W
```

[12]
Material: Ta2CoPt
Method: DFT, PBE
State: optimized geometry

Density of states at the Fermi level in states/eV per cell: 5.0
E in eV per atom: -9.30
Formation energy in eV per atom: -0.085
Volume in Å³ per cell: 63

POSCAR file:
```
Ta2CoPt
1.0
4.620 -1.420 0.000
4.620 1.420 0.000
-0.878 0.000 4.820
Ta Co Pt
2 1 1
Cartesian
2.076 0.000 1.173 Ta
6.287 0.000 3.648 Ta
4.620 0.000 0.000 Co
-0.439 0.000 2.410 Pt
```